[1]
# Cs2Ni2S3 | Alexandria via LeMat-Bulk | GGA-PBE | relaxed
data_Cs2Ni2S3
_symmetry_space_group_name_H-M 'C 1 2/m 1'
_symmetry_Int_Tables_number 12
_symmetry_space_group_name_Hall '-C 2y'
_cell_length_a 12.411
_cell_length_b 4.003
_cell_length_c 8.526
_cell_angle_alpha 90.00
_cell_angle_beta 123.83
_cell_angle_gamma 90.00
loop_
_atom_site_label
_atom_site_fract_x
_atom_site_fract_y
_atom_site_fract_z
Cs1 0.070 0.000 0.346
Ni1 0.199 0.500 0.059
S1 0.000 0.500 0.000
S2 0.216 0.500 0.810
# * formation energy from raw total energies: -646 meV per atom
# * mass density: 4.524 g cm⁻³
# * DOS at the Fermi energy: 0.778 states/eV/atom

[2]
# Pr4CoPI2 | Alexandria via LeMat-Bulk | GGA-PBE | relaxed
data_Pr4CoPI2
_symmetry_space_group_name_H-M 'P 1 2/m 1'
_symmetry_Int_Tables_number 10
_symmetry_space_group_name_Hall '-P 2y'
_cell_length_a 7.582
_cell_length_b 4.084
_cell_length_c 8.247
_cell_angle_alpha 90.00
_cell_angle_beta 106.47
_cell_angle_gamma 90.00
loop_
_atom_site_label
_atom_site_fract_x
_atom_site_fract_y
_atom_site_fract_z
Pr1 0.208 0.000 0.181
Pr2 0.264 0.500 0.808
Co1 0.000 0.500 0.000
P1 0.500 0.000 0.000
I1 0.000 0.000 0.500
I2 0.500 0.500 0.500
# * formation energy from raw total energies: -928 meV per atom
# * mass density: 6.152 g cm⁻³
# * DOS at the Fermi energy: 0.717 states/eV/atom

[3]
# KFe2Ir | Alexandria via LeMat-Bulk | GGA-PBE | relaxed
data_KFe2Ir
_symmetry_space_group_name_H-M 'I -4 2 d'
_symmetry_Int_Tables_number 122
_symmetry_space_group_name_Hall 'I -4 2bw'
_cell_length_a 7.495
_cell_length_b 7.495
_cell_length_c 6.103
_cell_angle_alpha 90.00
_cell_angle_beta 90.00
_cell_angle_gamma 90.00
loop_
_atom_site_label
_atom_site_fract_x
_atom_site_fract_y
_atom_site_fract_z
K1 0.000 0.000 0.000
Fe1 0.176 0.250 0.625
Ir1 0.000 0.000 0.500
# * offset from the most stable computed form: 2.27 eV per formula unit
# * mass density: 6.646 g cm⁻³
# * energy of formation from the pure elements: 1097 meV per atom
# * DOS at the Fermi energy: 1.456 states/eV/atom

[4]
# Pm2PaFe2 | Alexandria via LeMat-Bulk | GGA-PBE | relaxed
data_Pm2PaFe2
_symmetry_space_group_name_H-M 'C 1 2/c 1'
_symmetry_Int_Tables_number 15
_symmetry_space_group_name_Hall '-C 2yc'
_cell_length_a 10.220
_cell_length_b 6.332
_cell_length_c 6.863
_cell_angle_alpha 90.00
_cell_angle_beta 95.99
_cell_angle_gamma 90.00
loop_
_atom_site_label
_atom_site_fract_x
_atom_site_fract_y
_atom_site_fract_z
Pm1 0.150 0.111 0.144
Pa1 0.000 0.421 0.750
Fe1 0.151 0.345 0.526
# * mass density: 9.514 g cm⁻³
# * energy of formation from the pure elements: -92 meV per atom
# * DOS at the Fermi energy: 1.046 states/eV/atom

[5]
# Tb2Dy2In5 | Alexandria via LeMat-Bulk | GGA-PBE | relaxed
data_Tb2Dy2In5
_symmetry_space_group_name_H-M 'I m a 2'
_symmetry_Int_Tables_number 46
_symmetry_space_group_name_Hall 'I 2 -2a'
_cell_length_a 14.306
_cell_length_b 7.069
_cell_length_c 10.077
_cell_angle_alpha 90.00
_cell_angle_beta 90.00
_cell_angle_gamma 90.00
loop_
_atom_site_label
_atom_site_fract_x
_atom_site_fract_y
_atom_site_fract_z
Tb1 0.000 0.000 0.000
Tb2 0.250 0.008 0.876
Dy1 0.127 0.529 0.937
In1 0.050 0.688 0.223
In2 0.150 0.217 0.165
In3 0.250 0.690 0.653
# * mass density: 7.933 g cm⁻³
# * energy of formation from the pure elements: -254 meV per atom
# * DOS at the Fermi energy: 0.834 states/eV/atom

[6]
# Li3Si5O12 | Alexandria via LeMat-Bulk | GGA-PBE | relaxed
data_Li3Si5O12
_symmetry_space_group_name_H-M 'I a -3 d'
_symmetry_Int_Tables_number 230
_symmetry_space_group_name_Hall '-I 4bd 2c 3'
_cell_length_a 11.403
_cell_length_b 11.403
_cell_length_c 11.403
_cell_angle_alpha 90.00
_cell_angle_beta 90.00
_cell_angle_gamma 90.00
loop_
_atom_site_label
_atom_site_fract_x
_atom_site_fract_y
_atom_site_fract_z
Li1 0.000 0.250 0.125
Si1 0.000 0.000 0.000
Si2 0.000 0.250 0.375
O1 0.033 0.042 0.648
# * formation energy from raw total energies: -2459 meV per atom
# * mass density: 3.165 g cm⁻³
# * DOS at the Fermi energy: 0.525 states/eV/atom

[7]
# CaVBi2 | Alexandria via LeMat-Bulk | GGA-PBE | relaxed
data_CaVBi2
_symmetry_space_group_name_H-M 'I -4 2 d'
_symmetry_Int_Tables_number 122
_symmetry_space_group_name_Hall 'I -4 2bw'
_cell_length_a 8.216
_cell_length_b 8.216
_cell_length_c 6.823
_cell_angle_alpha 90.00
_cell_angle_beta 90.00
_cell_angle_gamma 90.00
loop_
_atom_site_label
_atom_site_fract_x
_atom_site_fract_y
_atom_site_fract_z
Ca1 0.000 0.000 0.000
V1 0.000 0.000 0.500
Bi1 0.213 0.250 0.625
# * offset from the most stable computed form: 0.22 eV per formula unit
# * mass density: 7.340 g cm⁻³
# * energy of formation from the pure elements: 5 meV per atom
# * DOS at the Fermi energy: 1.006 states/eV/atom

[8]
# Nd3MgZn4 | Alexandria via LeMat-Bulk | GGA-PBE | relaxed
data_Nd3MgZn4
_symmetry_space_group_name_H-M 'R -3 m'
_symmetry_Int_Tables_number 166
_symmetry_space_group_name_Hall '-R 3 2"'
_cell_length_a 5.0388
_cell_length_b 5.0388
_cell_length_c 25.6818
_cell_angle_alpha 90.00
_cell_angle_beta 90.00
_cell_angle_gamma 120.00
loop_
_atom_site_label
_atom_site_fract_x
_atom_site_fract_y
_atom_site_fract_z
Nd1 0.0000 0.0000 0.0000
Nd2 0.0000 0.0000 0.2426
Mg1 0.0000 0.0000 0.5000
Zn1 0.0000 0.0000 0.1256
Zn2 0.0000 0.0000 0.3757
# * mass density: 6.340 g cm⁻³
# * energy of formation from the pure elements: -289 meV per atom
# * DOS at the Fermi energy: 0.689 states/eV/atom